A plane-wave DFT calculation with PBE was carried out for an optimized crystal structure of Pa2RuSe.

abc: 3.863 3.863 7.692
angles: 75.46 75.46 60.00
Element x y z (fractional)
Ru 0.669 0.669 0.993
Pa 0.073 0.073 0.782
Pa 0.259 0.259 0.222
Se 0.499 0.499 0.503

V   95.14 Å³ per cell
Energy above the lowest structure with this stoichiometry   0 meV/atom
Energy   -8.686 eV/atom
Symmetry   No. 160



A plane-wave DFT calculation with PBE was carried out for an optimized crystal structure of Pa2RuSe.

abc: 3.471 4.925 4.925
angles: 90.00 90.00 90.00
Each line ends with the local moment (μB).
Element x y z (fractional)
Se 0.500 0.000 0.000  -0.01
Pa 0.000 0.500 0.000  0.77
Pa 0.000 0.000 0.500  0.77
Ru 0.500 0.500 0.500  -0.10

V   84.17 Å³ per cell
Energy above the lowest structure with this stoichiometry   281 meV/atom
Energy   -8.405 eV/atom
Symmetry   No. 123



A plane-wave DFT calculation with PBE was carried out for an optimized crystal structure of Pa2RuSe.

abc: 3.322 3.322 9.590
angles: 80.03 80.03 60.00
Element x y z (fractional)
Ru 0.000 0.000 0.000
Se 0.500 0.500 0.500
Pa 0.088 0.088 0.736
Pa 0.912 0.912 0.264

V   89.79 Å³ per cell
Energy above the lowest structure with this stoichiometry   531 meV/atom
Energy   -8.155 eV/atom
Symmetry   No. 166



A plane-wave DFT calculation with PBE was carried out for an optimized crystal structure of PaRuSe2.

abc: 3.744 3.744 8.324
angles: 77.00 77.00 60.00
Element x y z (fractional)
Pa 0.000 0.000 0.000
Ru 0.500 0.500 0.500
Se 0.885 0.885 0.344
Se 0.115 0.115 0.656

V   97.59 Å³ per cell
Energy   -6.402 eV/atom
Symmetry   No. 166



A plane-wave DFT calculation with PBE was carried out for an optimized crystal structure of Pa6RuSe5.

abc: 7.032 7.096 7.056
angles: 59.81 80.24 70.29
Element x y z (fractional)
Se 0.500 0.824 0.351
Se 0.500 0.500 0.000
Se 0.000 0.336 0.329
Se 0.500 0.176 0.649
Se 0.000 0.664 0.671
Pa 0.237 0.922 0.683
Pa 0.248 0.236 0.000
Pa 0.752 0.764 0.000
Pa 0.237 0.605 0.317
Pa 0.763 0.395 0.683
Pa 0.763 0.078 0.317
Ru 0.000 0.000 0.000

V   286.50 Å³ per cell
Energy   -8.048 eV/atom
Symmetry   No. 12



A plane-wave DFT calculation with PBE was carried out for an optimized crystal structure of Pa5RuSe4.

abc: 5.761 7.036 7.036
angles: 80.35 65.83 65.83
Element x y z (fractional)
Se 0.593 0.602 0.214
Se 0.409 0.398 0.786
Se 0.807 0.786 0.602
Se 0.195 0.214 0.398
Pa 0.501 0.000 0.000
Pa 0.902 0.382 0.816
Pa 0.718 0.184 0.382
Pa 0.284 0.816 0.618
Pa 0.100 0.618 0.184
Ru 0.001 0.000 0.000

V   237.38 Å³ per cell
Energy   -8.121 eV/atom
Symmetry   No. 87



A plane-wave DFT calculation with PBE was carried out for an optimized crystal structure of Pa4Te2RuSe.

abc: 4.004 7.280 7.540
angles: 107.46 90.00 90.00
Element x y z (fractional)
Pa 0.500 0.752 0.783
Pa 0.500 0.248 0.217
Pa 0.000 0.276 0.794
Pa 0.000 0.724 0.206
Se 0.000 0.000 0.000
Te 0.000 0.500 0.500
Te 0.500 0.000 0.500
Ru 0.500 0.500 0.000

V   209.67 Å³ per cell
Energy   -7.893 eV/atom
Symmetry   No. 10



A plane-wave DFT calculation with PBE was carried out for an optimized crystal structure of Pa4TeRuSe2.

abc: 3.961 7.406 7.183
angles: 107.68 90.00 90.00
Element x y z (fractional)
Pa 0.000 0.284 0.766
Pa 0.000 0.716 0.234
Pa 0.500 0.723 0.742
Pa 0.500 0.277 0.258
Ru 0.500 0.500 0.000
Se 0.500 0.000 0.500
Se 0.000 0.500 0.500
Te 0.000 0.000 0.000

V   200.75 Å³ per cell
Energy   -8.004 eV/atom
Symmetry   No. 10



- What is the V in the fourth record?
  97.59 Å³ per cell